The following is a DFT calculation (PBE-GGA) of a relaxed structure of HoPaTcSn.

Values from the calculation:
- energy of formation (eV per atom) = -0.041
- total magnetic moment (μB/f.u.) = 0.00

Lattice parameters (Å, degrees): 7.186 7.186 7.186 90.00 90.00 90.00
Fractional coordinates of all 16 atoms:
Ho 0.000 0.000 0.000
Ho 0.000 0.500 0.500
Ho 0.500 0.000 0.500
Ho 0.500 0.500 0.000
Pa 0.000 0.000 0.500
Pa 0.000 0.500 0.000
Pa 0.500 0.000 0.000
Pa 0.500 0.500 0.500
Tc 0.250 0.250 0.750
Tc 0.250 0.750 0.250
Tc 0.750 0.250 0.250
Tc 0.750 0.750 0.750
Sn 0.250 0.250 0.250
Sn 0.250 0.750 0.750
Sn 0.750 0.250 0.750
Sn 0.750 0.750 0.250